[1]
## ScMo2Ru (PBE)

Data for a relaxed ScMo2Ru crystal.

Energy relative to the elements = 0.23 eV/f.u.
Density of states at the Fermi level = 3.89 states/eV per cell
ΔE to the lowest computed polymorph = 166 meV/atom

Cell: 2.822 2.822 8.759 Å, 90.00 90.00 110.21°
Fractional positions:
Mo 0.000 0.000 0.013
Mo 0.500 0.500 0.256
Ru 0.000 0.000 0.495
Sc 0.500 0.500 0.736

***

[2]
## CsKLi2Bi (PBE)

Data for a relaxed CsKLi2Bi crystal.

Energy relative to the elements = -0.91 eV/f.u.
Density of states at the Fermi level = 2.73 states/eV per cell

Cell: 5.719 5.719 6.877 Å, 90.00 90.00 90.00°
Fractional positions:
Cs 0.500 0.500 0.500
K 0.000 0.000 0.500
Bi 0.000 0.000 0.000
Li 0.000 0.500 0.000
Li 0.500 0.000 0.000

***

[3]
## Mn4Co3 (PBE)

Data for a relaxed Mn4Co3 crystal.

Energy relative to the elements = 1.04 eV/f.u.
Density of states at the Fermi level = 9.17 states/eV per cell
ΔE to the lowest computed polymorph = 159 meV/atom

Cell: 4.595 4.595 4.349 Å, 90.00 90.00 120.00°
Fractional positions:
Mn 0.000 0.000 0.268
Mn 0.000 0.000 0.732
Mn 0.667 0.333 0.500
Mn 0.333 0.667 0.500
Co 0.000 0.500 0.000
Co 0.500 0.500 0.000
Co 0.500 0.000 0.000

***

[4]
## CsY2TaBr (PBE)

Data for a relaxed CsY2TaBr crystal.

Density of states at the Fermi level = 5.76 states/eV per cell
Uncorrected formation energy = 654 meV per atom

Cell: 5.483 6.766 5.483 Å, 90.00 90.00 90.00°
Fractional positions:
Cs 0.000 0.500 0.000
Y 0.000 0.000 0.500
Y 0.500 0.000 0.000
Br 0.500 0.500 0.500
Ta 0.000 0.000 0.000

***

[5]
## Tb8Er2Al (PBE)

Data for a relaxed Tb8Er2Al crystal.

Energy relative to the elements = -0.42 eV/f.u.
Density of states at the Fermi level = 13.61 states/eV per cell
ΔE to the lowest computed polymorph = 0 meV/atom

Cell: 5.480 6.440 9.925 Å, 93.20 106.03 90.00°
Fractional positions:
Tb 0.421 0.399 0.842
Tb 0.658 0.119 0.316
Tb 0.844 0.189 0.688
Tb 0.958 0.748 0.916
Tb 0.156 0.811 0.312
Tb 0.342 0.881 0.684
Tb 0.579 0.601 0.158
Tb 0.042 0.252 0.084
Er 0.760 0.665 0.521
Er 0.240 0.335 0.479
Al 0.500 0.000 0.000

***

[6]
## TmInCuPt (PBE)

Data for a relaxed TmInCuPt crystal.

Energy relative to the elements = -2.64 eV/f.u.
Density of states at the Fermi level = 2.09 states/eV per cell

Cell: 4.734 4.734 4.734 Å, 60.00 60.00 60.00°
Fractional positions:
Tm 0.250 0.250 0.250
Cu 0.500 0.500 0.500
Pt 0.000 0.000 0.000
In 0.750 0.750 0.750

***

[7]
## Nd8Ho2Pb (PBE)

Data for a relaxed Nd8Ho2Pb crystal.

Energy relative to the elements = -0.89 eV/f.u.
Density of states at the Fermi level = 15.44 states/eV per cell

Cell: 5.041 8.152 9.586 Å, 105.00 105.25 90.00°
Fractional positions:
Nd 0.591 0.443 0.182
Nd 0.321 0.093 0.643
Nd 0.138 0.181 0.276
Nd 0.044 0.729 0.088
Nd 0.862 0.819 0.724
Nd 0.679 0.907 0.357
Nd 0.409 0.557 0.818
Nd 0.956 0.271 0.912
Ho 0.224 0.632 0.449
Ho 0.776 0.368 0.551
Pb 0.500 0.000 0.000

***

[8]
## ZrCo2MoC (PBE)

Data for a relaxed ZrCo2MoC crystal.

Energy relative to the elements = -0.65 eV/f.u.
Density of states at the Fermi level = 3.66 states/eV per cell

Cell: 3.903 3.903 4.190 Å, 90.00 90.00 90.00°
Fractional positions:
Mo 0.000 0.000 0.500
Co 0.000 0.500 0.000
Co 0.500 0.000 0.000
C 0.000 0.000 0.000
Zr 0.500 0.500 0.500

***

[9]
## SbOsW2 (PBE)

Data for a relaxed SbOsW2 crystal.

Density of states at the Fermi level = 4.06 states/eV per cell
Uncorrected formation energy = 610 meV per atom

Cell: 5.000 5.000 5.000 Å, 132.50 132.50 69.44°
Fractional positions:
Os 0.500 0.500 0.000
Sb 0.750 0.250 0.500
W 0.000 0.000 0.000
W 0.250 0.750 0.500

***

[10]
## Tb2HoGe2 (PBE)

Data for a relaxed Tb2HoGe2 crystal.

Energy relative to the elements = -3.95 eV/f.u.
Density of states at the Fermi level = 8.67 states/eV per cell
ΔE to the lowest computed polymorph = 0 meV/atom

Cell: 4.263 7.590 7.590 Å, 90.00 90.00 90.00°
Fractional positions:
Tb 0.500 0.173 0.673
Tb 0.500 0.673 0.827
Tb 0.500 0.827 0.327
Tb 0.500 0.327 0.173
Ho 0.000 0.000 0.000
Ho 0.000 0.500 0.500
Ge 0.000 0.375 0.875
Ge 0.000 0.875 0.625
Ge 0.000 0.625 0.125
Ge 0.000 0.125 0.375

***

[11]
## ScAuSe3 (PBE)

Data for a relaxed ScAuSe3 crystal.

Density of states at the Fermi level = 7.60 states/eV per cell
Uncorrected formation energy = -67 meV per atom
ΔE to the lowest computed polymorph = 0 meV/atom

Cell: 5.131 5.131 5.131 Å, 90.00 90.00 90.00°
Fractional positions:
Sc 0.000 0.000 0.000
Au 0.500 0.500 0.500
Se 0.000 0.500 0.000
Se 0.000 0.000 0.500
Se 0.500 0.000 0.000

***

[12]
## Nd4Sm3Dy8 (PBE)

Data for a relaxed Nd4Sm3Dy8 crystal.

Energy relative to the elements = 1.88 eV/f.u.
Density of states at the Fermi level = 23.59 states/eV per cell
ΔE to the lowest computed polymorph = 0 meV/atom

Cell: 7.003 7.003 12.563 Å, 73.82 73.82 60.00°
Fractional positions:
Nd 0.000 0.000 0.000
Nd 0.336 0.336 0.991
Nd 0.500 0.500 0.500
Nd 0.664 0.664 0.009
Sm 0.500 0.000 0.500
Sm 0.000 0.000 0.500
Sm 0.000 0.500 0.500
Dy 0.245 0.245 0.264
Dy 0.248 0.750 0.251
Dy 0.750 0.750 0.251
Dy 0.750 0.248 0.251
Dy 0.755 0.755 0.736
Dy 0.752 0.250 0.749
Dy 0.250 0.250 0.749
Dy 0.250 0.752 0.749

***

[13]
## FeCo2Tc (PBE)

Data for a relaxed FeCo2Tc crystal.

Energy relative to the elements = 0.55 eV/f.u.
Density of states at the Fermi level = 4.47 states/eV per cell
ΔE to the lowest computed polymorph = 83 meV/atom

Cell: 8.424 8.424 8.424 Å, 17.70 17.70 17.70°
Fractional positions:
Co 0.997 0.997 0.997
Co 0.503 0.503 0.503
Fe 0.250 0.250 0.250
Tc 0.750 0.750 0.750

***

[14]
## Ce4GaRu4 (PBE)

Data for a relaxed Ce4GaRu4 crystal.

Energy relative to the elements = -2.61 eV/f.u.
Density of states at the Fermi level = 8.99 states/eV per cell

Cell: 5.161 6.747 6.747 Å, 81.59 67.51 67.51°
Fractional positions:
Ce 0.801 0.612 0.787
Ce 0.199 0.388 0.213
Ce 0.588 0.213 0.612
Ce 0.412 0.787 0.388
Ga 0.000 0.000 0.000
Ru 0.736 0.355 0.174
Ru 0.264 0.645 0.826
Ru 0.910 0.826 0.355
Ru 0.090 0.174 0.645

***

[15]
## TbDyNp2Sb4 (PBE)

Data for a relaxed TbDyNp2Sb4 crystal.

Density of states at the Fermi level = 22.38 states/eV per cell
Uncorrected formation energy = -646 meV per atom

Cell: 4.375 7.636 7.619 Å, 109.18 90.00 90.00°
Fractional positions:
Tb 0.500 0.500 0.000
Dy 0.000 0.000 0.000
Np 0.500 0.000 0.500
Np 0.000 0.500 0.500
Sb 0.500 0.249 0.249
Sb 0.500 0.751 0.751
Sb 0.000 0.250 0.750
Sb 0.000 0.750 0.250

***

[16]
## Li2AcHg4 (PBE)

Data for a relaxed Li2AcHg4 crystal.

Energy relative to the elements = -2.26 eV/f.u.
Density of states at the Fermi level = 3.21 states/eV per cell

Cell: 4.912 3.601 10.373 Å, 100.00 103.70 90.00°
Fractional positions:
Li 0.805 0.805 0.611
Li 0.195 0.195 0.389
Ac 0.500 0.000 0.000
Hg 0.668 0.668 0.336
Hg 0.332 0.332 0.664
Hg 0.080 0.580 0.161
Hg 0.920 0.420 0.839

***

[17]
## TlGeTe2N (PBE)

Data for a relaxed TlGeTe2N crystal.

Density of states at the Fermi level = 2.90 states/eV per cell
Uncorrected formation energy = 1192 meV per atom
ΔE to the lowest computed polymorph = 744 meV/atom

Cell: 5.891 5.891 4.247 Å, 90.00 90.00 90.00°
Fractional positions:
Tl 0.000 0.000 0.000
Te 0.000 0.500 0.000
Te 0.500 0.000 0.000
Ge 0.500 0.500 0.500
N 0.000 0.000 0.500

***

[18]
## Ge3Br5Cl (PBE)

Data for a relaxed Ge3Br5Cl crystal.

Density of states at the Fermi level = 0.00 states/eV per cell
Uncorrected formation energy = -532 meV per atom

Cell: 7.886 7.886 10.322 Å, 74.52 74.52 74.21°
Fractional positions:
Ge 0.340 0.340 0.134
Ge 0.280 0.280 0.510
Ge 0.000 0.000 0.000
Ge 0.000 0.000 0.500
Ge 0.660 0.660 0.866
Ge 0.720 0.720 0.490
Br 0.627 0.996 0.625
Br 0.303 0.697 0.000
Br 0.233 0.233 0.954
Br 0.531 0.531 0.672
Br 0.469 0.469 0.328
Br 0.767 0.767 0.046
Br 0.996 0.627 0.625
Br 0.697 0.303 0.000
Br 0.373 0.004 0.375
Br 0.004 0.373 0.375
Cl 0.954 0.954 0.270
Cl 0.046 0.046 0.730

***

[19]
## TbLuMg2 (PBE)

Data for a relaxed TbLuMg2 crystal.

Energy relative to the elements = -0.29 eV/f.u.
Density of states at the Fermi level = 5.26 states/eV per cell
ΔE to the lowest computed polymorph = 0 meV/atom

Cell: 5.327 5.327 5.327 Å, 60.00 60.00 60.00°
Fractional positions:
Mg 0.250 0.250 0.250
Mg 0.750 0.750 0.750
Lu 0.500 0.500 0.500
Tb 0.000 0.000 0.000

***

[20]
## PmHgTe3 (PBE)

Data for a relaxed PmHgTe3 crystal.

Density of states at the Fermi level = 3.81 states/eV per cell
Uncorrected formation energy = -624 meV per atom

Cell: 4.617 6.455 13.237 Å, 108.99 90.00 90.00°
Fractional positions:
Pm 0.250 0.172 0.169
Pm 0.750 0.828 0.831
Hg 0.250 0.054 0.629
Hg 0.750 0.946 0.371
Te 0.250 0.172 0.927
Te 0.750 0.828 0.073
Te 0.250 0.216 0.414
Te 0.750 0.784 0.586
Te 0.250 0.481 0.782
Te 0.750 0.519 0.218

***

Number 1: calculated total energy -9.261 eV per atom. Number 2: calculated total energy -2.115 eV per atom. Number 3: calculated total energy -8.137 eV per atom. Number 4: calculated total energy -4.807 eV per atom. Number 5: calculated total energy -4.575 eV per atom. Number 6: calculated total energy -4.996 eV per atom. Number 7: calculated total energy -4.718 eV per atom. Number 8: calculated total energy -8.692 eV per atom. Number 9: calculated total energy -9.705 eV per atom. Number 10: calculated total energy -5.404 eV per atom. Number 11: calculated total energy -4.080 eV per atom. Number 12: calculated total energy -4.545 eV per atom. Number 13: calculated total energy -8.122 eV per atom. Number 14: calculated total energy -7.386 eV per atom. Number 15: calculated total energy -7.096 eV per atom. Number 16: calculated total energy -1.629 eV per atom. Number 17: calculated total energy -3.127 eV per atom. Number 18: calculated total energy -3.205 eV per atom. Number 19: calculated total energy -3.157 eV per atom. Number 20: calculated total energy -3.520 eV per atom.